SiPb2SeBr | Alexandria via LeMat-Bulk | PBE | relaxed; energy relative to the elements, uncorrected = 82 meV per atom; space-group type = P4/mmm, No. 123; magnetization = 0.00 μB/atom
1.0
5.5946 0.0000 0.0000
0.0000 5.5946 0.0000
0.0000 0.0000 4.8480
Si Pb Se Br
1 2 1 1
Cartesian
0.0000 0.0000 0.0000
0.0000 2.7973 0.0000
2.7973 0.0000 0.0000
0.0000 0.0000 2.4240
2.7973 2.7973 2.4240